# InFe2BRh GGA-PBEsol relaxed
# E_form (eV per atom): -0.117
# Total DFT energy (no corrections) (eV/cell): -36.65
data_InFe2BRh
_chemical_formula_sum 'In1 Fe2 B1 Rh1'
_cell_length_a 3.889
_cell_length_b 3.889
_cell_length_c 4.094
_cell_angle_alpha 90.00
_cell_angle_beta 90.00
_cell_angle_gamma 90.00
_space_group_name_H-M_alt 'P 4/m m m'
_space_group_IT_number 123
_space_group_name_Hall '-P 4 2'
loop_
_atom_site_label
_atom_site_fract_x
_atom_site_fract_y
_atom_site_fract_z
In1 0.000 0.000 0.000
Fe1 0.000 0.500 0.500
B1 0.500 0.500 0.500
Rh1 0.500 0.500 0.000